1.
{"formula": "Fe46B3C9", "functional": "PBE", "state": "optimized geometry", "lattice": [[7.422, 0.000, 0.000], [3.701, 6.442, 0.000], [3.674, 2.101, 12.135]], "species": ["Fe", "Fe", "Fe", "Fe", "Fe", "Fe", "Fe", "Fe", "Fe", "Fe", "Fe", "Fe", "Fe", "Fe", "Fe", "Fe", "Fe", "Fe", "Fe", "Fe", "Fe", "Fe", "Fe", "Fe", "Fe", "Fe", "Fe", "Fe", "Fe", "Fe", "Fe", "Fe", "Fe", "Fe", "Fe", "Fe", "Fe", "Fe", "Fe", "Fe", "Fe", "Fe", "Fe", "Fe", "Fe", "Fe", "B", "B", "B", "C", "C", "C", "C", "C", "C", "C", "C", "C"], "frac_coords": [[0.000, 0.000, 0.000], [0.000, 0.655, 0.341], [0.001, 0.993, 0.339], [0.005, 0.325, 0.671], [0.008, 0.987, 0.671], [0.047, 0.701, 0.546], [0.095, 0.282, 0.863], [0.098, 0.754, 0.861], [0.130, 0.248, 0.363], [0.168, 0.821, 0.168], [0.171, 0.161, 0.171], [0.173, 0.480, 0.173], [0.217, 0.396, 0.981], [0.243, 0.369, 0.478], [0.246, 0.902, 0.478], [0.300, 0.950, 0.796], [0.323, 0.325, 0.671], [0.329, 0.670, 0.669], [0.339, 0.656, 0.339], [0.341, 0.994, 0.001], [0.347, 0.653, 0.000], [0.361, 0.016, 0.596], [0.478, 0.132, 0.247], [0.499, 0.501, 0.499], [0.504, 0.149, 0.842], [0.506, 0.495, 0.841], [0.508, 0.824, 0.171], [0.510, 0.485, 0.171], [0.549, 0.199, 0.047], [0.594, 0.786, 0.363], [0.597, 0.251, 0.361], [0.633, 0.747, 0.863], [0.658, 0.325, 0.671], [0.670, 0.663, 0.670], [0.673, 0.980, 0.673], [0.714, 0.898, 0.479], [0.745, 0.867, 0.980], [0.749, 0.400, 0.979], [0.796, 0.451, 0.297], [0.826, 0.827, 0.173], [0.831, 0.164, 0.171], [0.839, 0.156, 0.840], [0.839, 0.494, 0.501], [0.845, 0.154, 0.500], [0.862, 0.515, 0.097], [0.978, 0.634, 0.746], [0.036, 0.689, 0.035], [0.263, 0.461, 0.808], [0.535, 0.189, 0.534], [0.033, 0.243, 0.032], [0.089, 0.186, 0.532], [0.309, 0.963, 0.309], [0.311, 0.407, 0.311], [0.532, 0.745, 0.531], [0.590, 0.686, 0.032], [0.753, 0.965, 0.311], [0.812, 0.463, 0.810], [0.813, 0.905, 0.811]], "ef_ev_per_atom": -0.010, "density_g_cm3": 7.8, "dos_ef_per_ev_fu": 44.3}

***

2.
{"formula": "K3In3PbCl8", "functional": "PBE", "state": "optimized geometry", "lattice": [[4.532, 2.616, 7.444], [-4.532, 2.616, 7.444], [0.000, -5.233, 7.444]], "species": ["K", "K", "K", "In", "In", "In", "Pb", "Cl", "Cl", "Cl", "Cl", "Cl", "Cl", "Cl", "Cl"], "frac_coords": [[0.000, 0.500, 0.500], [0.500, 0.000, 0.500], [0.500, 0.500, 0.000], [0.000, 0.000, 0.500], [0.000, 0.500, 0.000], [0.500, 0.000, 0.000], [0.500, 0.500, 0.500], [0.252, 0.252, 0.252], [0.272, 0.272, 0.724], [0.272, 0.724, 0.272], [0.276, 0.728, 0.728], [0.724, 0.272, 0.272], [0.728, 0.276, 0.728], [0.728, 0.728, 0.276], [0.748, 0.748, 0.748]], "raw_formation_energy_kj_per_mol_atoms": -129, "density_g_cm3": 3.0, "dos_ef_per_ev_fu": 0.0}